[1]
Below is a relaxed LaPrNd crystal, with properties calculated at the PBE level.

```
6
Lattice="5.6743 0.0659 -1.6668 -3.4694 5.8592 -1.0765 -1.0835 -0.1481 6.8066" Properties=species:S:1:pos:R:3 pbc="T T T"
La 1.1699 2.6867 0.5805
La -1.2936 1.7121 2.6493
Pr -3.8308 5.5475 4.1956
Pr -0.5915 4.5675 4.6914
Nd -1.7259 5.1299 1.0573
Nd 2.3039 2.1604 4.1638
```

Properties
SG ... No. 46
Formation energy from the elements ... 0.05 eV/atom
M_tot ... 0.000 μB per atom

---

[2]
Below is a relaxed BaDyPb6 crystal, with properties calculated at the PBE level.

```
8
Lattice="-0.1911 -3.1121 -4.0058 -0.9880 -3.9090 3.0840 -9.5501 1.7194 -0.8802" Properties=species:S:1:pos:R:3 pbc="T T T"
Ba 0.0000 0.0000 0.0000
Dy -4.7750 0.8597 -0.4401
Pb -0.5896 -3.5105 -0.4609
Pb -5.3646 -2.6508 -0.9010
Pb -2.6236 -1.1009 -2.2359
Pb -7.1176 -0.2918 -2.6501
Pb -3.0221 -1.4994 1.3090
Pb -7.5160 -0.6902 0.8948
```

Properties
SG ... No. 123
Formation energy from the elements ... -0.33 eV/atom
M_tot ... 0.000 μB per atom

---

[3]
Below is a relaxed Y4Zn3Hg crystal, with properties calculated at the PBE level.

```
8
Lattice="4.9080 0.0000 1.4488 2.2402 4.3669 1.4488 0.0455 0.0278 8.8836" Properties=species:S:1:pos:R:3 pbc="T T T"
Y 6.2516 3.8192 5.9346
Y 2.7410 1.6745 8.7898
Y 0.9420 0.5755 5.8466
Y 4.4526 2.7202 2.9914
Zn 1.7871 1.0918 2.9835
Zn 5.4065 3.3029 8.7976
Zn 3.5968 2.1973 5.8906
Hg 0.0000 0.0000 0.0000
```

Properties
SG ... No. 166
Formation energy from the elements ... -0.40 eV/atom
M_tot ... 0.000 μB per atom

---

[4]
Below is a relaxed La3DyTm2S6 crystal, with properties calculated at the PBE level.

```
12
Lattice="6.8649 -0.0080 -0.0023 -3.4377 5.9421 -0.0023 -1.1455 -1.9834 6.7031" Properties=species:S:1:pos:R:3 pbc="T T T"
La -2.3066 3.9664 3.3493
La 4.5883 -0.0156 3.3493
La 1.1409 1.9754 3.3493
Dy 0.0000 0.0000 0.0000
Tm -0.0026 3.9582 -0.0023
Tm 3.4298 1.9759 -0.0023
S 3.4415 1.9504 5.1885
S 2.2713 3.9327 1.5014
S -1.1597 2.0004 1.5101
S -0.0305 3.9556 5.1885
S 0.0105 0.0181 5.1972
S 2.3123 -0.0048 1.5101
```

Properties
SG ... No. 12
Formation energy (no corrections) ... -2071 meV per atom
M_tot ... 0.000 μB per atom

---

[5]
Below is a relaxed HgPd14Pb crystal, with properties calculated at the PBE level.

```
16
Lattice="5.7368 -0.0119 0.0000 0.0124 5.7368 0.0000 0.0000 0.0000 7.8619" Properties=species:S:1:pos:R:3 pbc="T T T"
Hg 2.1560 2.1468 3.9310
Pd 5.0306 5.0093 0.0000
Pd 2.1560 2.1468 0.0000
Pd 5.0244 2.1409 3.9310
Pd 5.0244 2.1408 0.0000
Pd 2.1622 5.0152 3.9310
Pd 2.1622 5.0153 0.0000
Pd 3.5860 0.7107 1.9143
Pd 3.5860 0.7107 5.9476
Pd 0.7260 3.5830 1.9143
Pd 0.7260 3.5830 5.9476
Pd 3.5923 3.5770 1.9142
Pd 3.5923 3.5770 5.9477
Pd 0.7197 0.7167 1.9142
Pd 0.7197 0.7167 5.9477
Pb 5.0306 5.0093 3.9310
```

Properties
SG ... No. 123
Formation energy from the elements ... -0.08 eV/atom
M_tot ... 0.000 μB per atom

---

[6]
Below is a relaxed Pu2Ge4Mo3 crystal, with properties calculated at the PBE level.

```
18
Lattice="-3.1806 3.7081 -5.0030 -1.8343 -6.7573 -0.4980 -5.4351 1.1575 4.3132" Properties=species:S:1:pos:R:3 pbc="T T T"
Pu -3.9222 1.2010 -1.3972
Pu -9.0650 -1.0371 -1.5407
Pu -6.5278 -3.0927 0.2094
Pu -1.3851 -0.8546 0.3529
Ge -5.8967 3.2103 -2.0153
Ge -3.9381 -3.7177 -3.4243
Ge -4.5533 -5.1020 0.8275
Ge -6.5119 1.8260 2.2365
Ge -4.4171 -0.0127 -3.9705
Ge -6.4142 -0.2825 -0.6783
Ge -6.0329 -1.8790 2.7827
Ge -4.0359 -1.6092 -0.5095
Mo -3.6347 -2.7999 1.9076
Mo -2.5075 -1.5246 -2.7505
Mo -7.4128 2.0541 -0.2581
Mo -5.6030 -1.8840 -2.6571
Mo -3.0372 -3.9458 -0.9297
Mo -4.8470 -0.0077 1.4693
```

Properties
SG ... No. 14
Formation energy from the elements ... -0.34 eV/atom
M_tot ... 1.094 μB per atom

---

[7]
Below is a relaxed Sr2CePaP4 crystal, with properties calculated at the PBE level.

```
8
Lattice="4.1891 0.0000 0.0000 0.0000 7.2527 0.1274 0.0000 -2.5315 6.8830" Properties=species:S:1:pos:R:3 pbc="T T T"
Sr 2.0945 -1.2658 3.4415
Sr 0.0000 2.3606 3.5052
Ce 2.0945 3.6263 0.0637
Pa 0.0000 0.0000 0.0000
P 2.0945 1.1143 1.5078
P 2.0945 3.6069 5.5025
P 0.0000 -0.1720 5.4169
P 0.0000 4.8932 1.5934
```

Properties
SG ... No. 10
Formation energy from the elements ... -1.28 eV/atom
M_tot ... 0.102 μB per atom

---

[8]
Below is a relaxed CaNd2Cd crystal, with properties calculated at the PBE level.

```
4
Lattice="3.5592 0.0000 0.0000 1.7796 3.0824 0.0000 1.7796 1.0275 12.8443" Properties=species:S:1:pos:R:3 pbc="T T T"
Ca 3.5592 2.0549 6.4222
Nd 1.7796 1.0275 9.5389
Nd 5.3388 3.0824 3.3054
Cd 0.0000 0.0000 0.0000
```

Properties
SG ... No. 166
Formation energy from the elements ... 0.23 eV/atom
M_tot ... 0.000 μB per atom

---

[9]
Below is a relaxed Nb2InC2 crystal, with properties calculated at the PBE level.

```
5
Lattice="-1.5265 -2.9024 -2.2604 3.0534 -2.3645 0.9741 -1.7257 -4.2828 3.1558" Properties=species:S:1:pos:R:3 pbc="T T T"
Nb -0.0738 -3.1883 0.6346
Nb -0.1250 -6.3616 1.2349
C -1.2444 -4.9094 0.1262
C 1.0456 -4.6404 1.7434
In 0.0000 0.0000 0.0000
```

Properties
SG ... No. 139
Formation energy from the elements ... 0.34 eV/atom
M_tot ... 0.000 μB per atom

---

[10]
Below is a relaxed YCoTe2I crystal, with properties calculated at the PBE level.

```
5
Lattice="-2.8308 -2.7662 4.3926 2.0141 -5.1967 -1.9745 4.7299 0.5447 3.3912" Properties=species:S:1:pos:R:3 pbc="T T T"
I 2.3650 0.2723 1.6956
Y 0.0000 0.0000 0.0000
Te 1.0070 -2.5983 -0.9873
Te -1.4154 -1.3831 2.1963
Co 1.9566 -3.7091 2.9046
```

Properties
SG ... No. 123
Formation energy (no corrections) ... 318 meV per atom
M_tot ... 0.527 μB per atom

---

[11]
Below is a relaxed Sc2Zn2Mo crystal, with properties calculated at the PBE level.

```
10
Lattice="-5.5993 0.4539 -4.9516 -3.5223 -5.6256 3.4674 -1.5004 2.1041 1.8896" Properties=species:S:1:pos:R:3 pbc="T T T"
Sc -4.1760 -2.7045 2.4076
Sc -7.4512 -3.2371 0.4000
Sc -6.4460 -0.3630 -2.0022
Sc -3.1708 0.1695 0.0054
Mo 0.0000 0.0000 0.0000
Mo -4.5608 -2.5858 -0.7421
Zn -5.2398 -4.7850 1.1677
Zn -7.1141 -3.0801 -2.2190
Zn -3.8819 -0.3866 -2.6519
Zn -2.0076 -2.0915 0.7349
```

Properties
SG ... No. 127
Formation energy from the elements ... 0.02 eV/atom
M_tot ... 0.000 μB per atom

---

[12]
Below is a relaxed PuZn3Ga crystal, with properties calculated at the PBE level.

```
5
Lattice="-3.1392 -2.5890 -1.0428 2.6259 -3.2714 0.2172 -0.9425 2.2946 5.5550" Properties=species:S:1:pos:R:3 pbc="T T T"
Pu -0.9515 -0.5042 4.0803
Zn -1.9227 -1.4845 1.0126
Zn 0.9511 -1.8247 1.6406
Zn -0.0378 -0.0202 0.1622
Ga -0.9433 -3.2943 2.5318
```

Properties
SG ... No. 8
Formation energy from the elements ... -0.18 eV/atom
M_tot ... 1.123 μB per atom